HfZrTa2N | PBE | optimized geometry

abc: 4.2933 4.2933 4.6502
angles: 90.00 90.00 90.00
Last column: nearest neighbours and their distance in Å.
Space group P4/mmm (No. 123)
Unique sites:
1 Hf 0.0000 0.0000 0.0000 [1 per cell]  4 Zr 3.04, 8 Ta 3.16
2 Zr 0.5000 0.5000 0.0000 [1 per cell]  2 N 2.33
3 Ta 0.0000 0.5000 0.5000 [2 per cell]  2 N 2.15
4 N 0.5000 0.5000 0.5000 [1 per cell]  4 Ta 2.15, 2 Zr 2.33

Results
Its crystal system is tetragonal.

---

HfZrTa2N | PBE | optimized geometry

abc: 4.3170 4.3170 4.5848
angles: 90.00 90.00 90.00
Last column: nearest neighbours and their distance in Å.
Space group P4/mmm (No. 123)
Unique sites:
1 Hf 0.0000 0.0000 0.0000 [1 per cell]  2 N 2.29
2 Zr 0.5000 0.5000 0.0000 [1 per cell]  4 Hf 3.05, 8 Ta 3.15
3 Ta 0.0000 0.5000 0.5000 [2 per cell]  2 N 2.16
4 N 0.0000 0.0000 0.5000 [1 per cell]  4 Ta 2.16, 2 Hf 2.29

Results
Its crystal system is tetragonal.

---

Energy relative to the elements, uncorrected values, unit eV/atom, following the record order: -0.55; -0.55.